Below is crystalline Tb6Sm2In at its relaxed geometry, with properties calculated at the PBE level.

Lattice parameters (Å, degrees): 6.6312 9.1003 10.7687 112.95 105.31 95.95
Closest atoms and distances in Å follow each position.
Space group P-1 (No. 2)
One atom of each set of equivalent atoms:
Tb  0.0292  0.3061  0.4390 [2 per cell]  8 Tb 3.36-3.70, 2 In 3.36-3.70, 2 Sm 3.49-3.51
Tb  0.0599  0.3100  0.1198 [2 per cell]  4 Sm 3.41-3.77, 2 In 3.44, 6 Tb 3.51-3.57
Tb  0.2778  0.0280  0.5556 [2 per cell]  8 Tb 3.47-3.60, 4 Sm 3.50-3.56
Tb  0.2804  0.0257  0.8891 [2 per cell]  6 Tb 3.45-3.59, 2 In 3.46-3.56, 4 Sm 3.50-3.63
Tb  0.3922  0.6367  0.1113 [2 per cell]  6 Tb 3.45-3.59, 2 In 3.45-3.56, 4 Sm 3.50-3.63
Tb  0.4099  0.6330  0.4392 [2 per cell]  8 Tb 3.35-3.70, 2 In 3.37-3.70, 2 Sm 3.49-3.50
Sm  0.0494  0.3111  0.7693 [2 per cell]  10 Tb 3.41-3.76, 1 In 3.50, 1 Sm 3.70
Sm  0.2805  0.0421  0.2307 [2 per cell]  10 Tb 3.41-3.77, 1 In 3.50, 1 Sm 3.70
In  0.3909  0.6408  0.7816 [2 per cell]  10 Tb 3.36-3.70, 2 Sm 3.50

ΔE to the lowest computed polymorph, meV/atom: 0
Energy of formation from the pure elements, eV per atom: -0.0893
D(E_F), states/eV/cell: 24.65